A plane-wave DFT calculation with GGA-PBE was carried out for Zr6Tl3Tc after structural relaxation.

## Properties
**DOS(E_F)**: 10.464 states/eV/f.u.
**Formation energy**: 0.13 eV per atom

abc: 10.560 5.749 7.877
angles: 90.00 107.04 90.00
Space group C2/m (No. 12)
Symmetry-distinct sites (fractional):
Zr (0.132, 0.000, 0.412) [4 per cell]
Zr (0.141, 0.246, 0.825) [8 per cell]
Tl (0.000, 0.500, 0.500) [2 per cell]
Tl (0.118, 0.500, 0.188) [4 per cell]
Tc (0.000, 0.000, 0.000) [2 per cell]

***

A plane-wave DFT calculation with GGA-PBE was carried out for ZrTlTc2 after structural relaxation.

## Properties
**DOS(E_F)**: 3.748 states/eV/f.u.
**Formation energy**: 0.43 eV per atom

abc: 3.1692 3.1692 25.9943
angles: 90.00 90.00 120.00
Space group R-3m (No. 166, hexagonal axes)
Symmetry-distinct sites (fractional):
Zr (0.0000, 0.0000, 0.0000) [3 per cell]
Tl (0.0000, 0.0000, 0.5000) [3 per cell]
Tc (0.0000, 0.0000, 0.2534) [6 per cell]

***

A plane-wave DFT calculation with GGA-PBE was carried out for Zr2TlTc after structural relaxation.

## Properties
**DOS(E_F)**: 3.242 states/eV/f.u.
**Formation energy**: -0.04 eV per atom

abc: 3.908 4.905 8.550
angles: 90.00 90.00 90.00
Space group Immm (No. 71)
Symmetry-distinct sites (fractional):
Zr (0.000, 0.000, 0.219) [4 per cell]
Tl (0.000, 0.500, 0.000) [2 per cell]
Tc (0.000, 0.500, 0.500) [2 per cell]

***

A plane-wave DFT calculation with GGA-PBE was carried out for Zr6TlTc after structural relaxation.

## Properties
**DOS(E_F)**: 7.770 states/eV/f.u.
**Formation energy**: -0.09 eV per atom

abc: 8.2176 8.2176 8.9978
angles: 90.00 90.00 120.00
Space group R-3 (No. 148, hexagonal axes)
Symmetry-distinct sites (fractional):
Zr (0.0165, 0.2403, 0.2209) [18 per cell]
Tl (0.0000, 0.0000, 0.5000) [3 per cell]
Tc (0.0000, 0.0000, 0.0000) [3 per cell]

***

A plane-wave DFT calculation with GGA-PBE was carried out for Zr2TlTc after structural relaxation.

## Properties
**DOS(E_F)**: 3.679 states/eV/f.u.
**Formation energy**: -0.03 eV per atom

abc: 11.123 3.430 4.815
angles: 90.00 115.57 90.00
Space group Cm (No. 8)
Symmetry-distinct sites (fractional):
Zr (0.000, 0.000, 0.000) [2 per cell]
Zr (0.224, 0.000, 0.724) [2 per cell]
Tl (0.448, 0.000, 0.448) [2 per cell]
Tc (0.210, 0.500, 0.212) [2 per cell]

***

A plane-wave DFT calculation with GGA-PBE was carried out for Zr2TlTc after structural relaxation.

## Properties
**DOS(E_F)**: 4.348 states/eV/f.u.
**Formation energy**: 0.19 eV per atom

abc: 3.421 5.177 9.544
angles: 90.00 90.00 90.00
Space group Cmm2 (No. 35)
Symmetry-distinct sites (fractional):
Zr (0.000, 0.000, 0.000) [2 per cell]
Zr (0.000, 0.500, 0.276) [2 per cell]
Tl (0.000, 0.000, 0.550) [2 per cell]
Tc (0.000, 0.500, 0.793) [2 per cell]

***

A plane-wave DFT calculation with GGA-PBE was carried out for ZrTlTc3 after structural relaxation.

## Properties
**DOS(E_F)**: 4.198 states/eV/f.u.
**Formation energy**: 1.78 eV per atom

abc: 4.851 4.851 4.851
angles: 90.00 90.00 90.00
Space group Pm-3m (No. 221)
Symmetry-distinct sites (fractional):
Zr (0.000, 0.000, 0.000) [1 per cell]
Tl (0.500, 0.500, 0.500) [1 per cell]
Tc (0.000, 0.000, 0.500) [3 per cell]

***

A plane-wave DFT calculation with GGA-PBE was carried out for ZrTlTc2 after structural relaxation.

## Properties
**DOS(E_F)**: 3.779 states/eV/f.u.
**Formation energy**: 0.35 eV per atom

abc: 2.9804 2.9804 29.0300
angles: 90.00 90.00 120.00
Space group R3m (No. 160, hexagonal axes)
Symmetry-distinct sites (fractional):
Zr (0.0000, 0.0000, 0.0000) [3 per cell]
Tl (0.0000, 0.0000, 0.2392) [3 per cell]
Tc (0.0000, 0.0000, 0.4876) [3 per cell]
Tc (0.0000, 0.0000, 0.7537) [3 per cell]

***

- Among the records above, which one has the lowest formation energy?
  Zr6TlTc